Entry 1:
{
  "formula": "MgTcN2O",
  "functional": "GGA-PBE",
  "state": "relaxed",
  "lattice": [[-0.556, 0.970, -3.722], [-3.797, -0.738, 0.375], [-0.610, 3.674, 1.049]],
  "species": ["O", "Mg", "Tc", "N", "N"],
  "fractional_positions": [[0.000, 0.000, 0.500], [0.500, 0.500, 0.500], [0.000, 0.000, 0.000], [0.000, 0.500, 0.000], [0.500, 0.000, 0.000]],
  "spacegroup": "P4/mmm, No. 123",
  "magmom_total_mub_per_fu": 0.00,
  "total_energy_ev_per_atom": -6.923,
  "formation_energy_uncorrected_mev_per_atom": -209
}

Entry 2:
{
  "formula": "Al4Ga3Ag4",
  "functional": "GGA-PBE",
  "state": "relaxed",
  "lattice": [[-1.469, -1.430, 2.363], [6.481, 1.751, 5.090], [-5.836, 6.488, -1.774]],
  "species": ["Al", "Al", "Al", "Al", "Ag", "Ag", "Ag", "Ag", "Ga", "Ga", "Ga"],
  "fractional_positions": [[0.330, 0.563, 0.660], [0.670, 0.437, 0.340], [0.670, 0.904, 0.340], [0.330, 0.096, 0.660], [0.500, 0.209, 0.000], [0.775, 0.275, 0.551], [0.500, 0.791, 0.000], [0.225, 0.725, 0.449], [0.000, 0.500, 0.000], [0.111, 0.111, 0.223], [0.889, 0.889, 0.777]],
  "spacegroup": "Immm, No. 71",
  "e_form_mev_per_atom": 59,
  "magmom_total_mub_per_fu": 0.00,
  "total_energy_ev_per_atom": -3.164
}

Entry 3:
{
  "formula": "HfAlFeTc2",
  "functional": "GGA-PBE",
  "state": "relaxed",
  "lattice": [[-2.390, -0.304, 3.769], [-3.376, -1.309, -2.247], [1.318, -4.246, 0.493]],
  "species": ["Tc", "Tc", "Fe", "Hf", "Al"],
  "fractional_positions": [[0.000, 0.000, 0.500], [0.500, 0.000, 0.000], [0.000, 0.000, 0.000], [0.500, 0.500, 0.500], [0.000, 0.500, 0.000]],
  "spacegroup": "P4/mmm, No. 123",
  "e_form_mev_per_atom": 484,
  "magmom_total_mub_per_fu": 0.00,
  "total_energy_ev_per_atom": -8.094
}

Entry 4:
{
  "formula": "K2UPtS4",
  "functional": "GGA-PBE",
  "state": "relaxed",
  "lattice": [[6.504, 0.246, 0.377], [-2.549, 5.989, -0.377], [-2.549, -2.755, 5.331]],
  "species": ["U", "S", "S", "S", "S", "K", "K", "Pt"],
  "fractional_positions": [[0.500, 0.250, 0.750], [0.567, 0.293, 0.388], [0.095, 0.274, 0.707], [0.433, 0.821, 0.726], [0.905, 0.612, 0.179], [0.000, 0.000, 0.000], [0.500, 0.750, 0.250], [0.000, 0.500, 0.500]],
  "spacegroup": "I-4, No. 82",
  "magmom_total_mub_per_fu": 2.00,
  "total_energy_ev_per_atom": -5.403,
  "formation_energy_uncorrected_mev_per_atom": -899
}

Entry 5:
{
  "formula": "CaTlBr2",
  "functional": "GGA-PBE",
  "state": "relaxed",
  "lattice": [[-6.072, -4.754, 3.251], [-4.812, -6.835, 0.407], [2.089, -2.918, 3.061]],
  "species": ["Br", "Br", "Tl", "Ca"],
  "fractional_positions": [[0.022, 0.022, 0.978], [0.828, 0.828, 0.672], [0.183, 0.183, 0.317], [0.467, 0.467, 0.534]],
  "spacegroup": "Imm2, No. 44",
  "magmom_total_mub_per_fu": 0.00,
  "total_energy_ev_per_atom": -3.110,
  "formation_energy_uncorrected_mev_per_atom": -1182
}

Entry 6:
{
  "formula": "RbLiLaFe",
  "functional": "GGA-PBE",
  "state": "relaxed",
  "lattice": [[-2.969, 0.938, -2.513], [-1.070, -2.958, 3.312], [0.317, 6.379, 5.218]],
  "species": ["Rb", "Fe", "Li", "La"],
  "fractional_positions": [[0.171, 0.291, 0.388], [0.862, 0.181, 0.908], [0.645, 0.598, 0.057], [0.184, 0.907, 0.833]],
  "spacegroup": "P1, No. 1",
  "e_form_mev_per_atom": 472,
  "magmom_total_mub_per_fu": 0.00,
  "total_energy_ev_per_atom": -3.596
}

Entry 7:
{
  "formula": "TlAsRh2",
  "functional": "GGA-PBE",
  "state": "relaxed",
  "lattice": [[-3.896, -1.805, 1.772], [1.400, -3.923, -2.056], [1.561, -0.810, 2.607]],
  "species": ["Tl", "Rh", "Rh", "As"],
  "fractional_positions": [[0.500, 0.000, 0.500], [0.500, 0.500, 0.000], [0.000, 0.000, 0.000], [0.000, 0.500, 0.500]],
  "spacegroup": "Cmmm, No. 65",
  "e_form_mev_per_atom": 57,
  "magmom_total_mub_per_fu": 0.00,
  "total_energy_ev_per_atom": -5.373
}

Entry 8:
{
  "formula": "MgAgRh2",
  "functional": "GGA-PBE",
  "state": "relaxed",
  "lattice": [[-1.601, -1.849, -1.668], [3.549, -0.427, -2.932], [1.573, -3.547, 2.422]],
  "species": ["Mg", "Rh", "Rh", "Ag"],
  "fractional_positions": [[0.000, 0.500, 0.500], [0.500, 0.500, 0.000], [0.000, 0.000, 0.000], [0.500, 0.000, 0.500]],
  "spacegroup": "Pmmm, No. 47",
  "e_form_mev_per_atom": -67,
  "magmom_total_mub_per_fu": 0.00,
  "total_energy_ev_per_atom": -4.854
}